Compound: LaNd2ErTh
Source: the Alexandria database
Functional: GGA-PBE
Structure: optimized geometry

## Properties
Symmetry: P2/c
Total magnetization in μB/atom: 0.000
DOS at the Fermi energy in states/eV per atom: 1.368
Calculated density in g cm⁻³: 7.65
Uncorrected energy in eV per atom: -4.989

Cell and atoms, written as CIF:
```
data_LaNd2ErTh
_cell_length_a 8.7228
_cell_length_b 6.4572
_cell_length_c 6.4413
_cell_angle_alpha 90.00
_cell_angle_beta 98.18
_cell_angle_gamma 90.00
_symmetry_space_group_name_H-M 'P 1'
_symmetry_Int_Tables_number 1
loop_
_symmetry_equiv_pos_as_xyz
'x,y,z'
loop_
_atom_site_label
_atom_site_fract_x
_atom_site_fract_y
_atom_site_fract_z
La1 0.0000 0.0000 0.0000
La2 0.0000 0.0000 0.5000
Nd1 0.3156 0.3112 0.2039
Nd2 0.3156 0.6888 0.7039
Nd3 0.6844 0.3112 0.2961
Nd4 0.6844 0.6888 0.7961
Er1 0.5000 0.1717 0.7500
Er2 0.5000 0.8283 0.2500
Th1 0.0000 0.4543 0.7500
Th2 0.0000 0.5457 0.2500
```

=====

Compound: La4Nd2ErTh
Source: the Alexandria database
Functional: GGA-PBE
Structure: optimized geometry

## Properties
Symmetry: Pmmm
Total magnetization in μB/atom: 0.000
DOS at the Fermi energy in states/eV per atom: 1.981
Calculated density in g cm⁻³: 7.39
Uncorrected energy in eV per atom: -5.028

Cell and atoms, written as CIF:
```
data_La4Nd2ErTh
_cell_length_a 6.1549
_cell_length_b 6.1694
_cell_length_c 7.3599
_cell_angle_alpha 90.00
_cell_angle_beta 90.00
_cell_angle_gamma 90.00
_symmetry_space_group_name_H-M 'P 1'
_symmetry_Int_Tables_number 1
loop_
_symmetry_equiv_pos_as_xyz
'x,y,z'
loop_
_atom_site_label
_atom_site_fract_x
_atom_site_fract_y
_atom_site_fract_z
La1 0.0000 0.0000 0.2340
La2 0.0000 0.0000 0.7660
La3 0.5000 0.5000 0.2366
La4 0.5000 0.5000 0.7634
Nd1 0.0000 0.5000 0.5000
Nd2 0.5000 0.0000 0.0000
Er1 0.5000 0.0000 0.5000
Th1 0.0000 0.5000 0.0000
```

=====

Compound: La2NdEr4Th
Source: the Alexandria database
Functional: GGA-PBE
Structure: optimized geometry

## Properties
Symmetry: P2/m
Total magnetization in μB/atom: 0.000
DOS at the Fermi energy in states/eV per atom: 1.284
Calculated density in g cm⁻³: 8.35
Uncorrected energy in eV per atom: -5.008

Cell and atoms, written as CIF:
```
data_La2NdEr4Th
_cell_length_a 5.1619
_cell_length_b 5.1606
_cell_length_c 9.8725
_cell_angle_alpha 90.00
_cell_angle_beta 90.06
_cell_angle_gamma 90.00
_symmetry_space_group_name_H-M 'P 1'
_symmetry_Int_Tables_number 1
loop_
_symmetry_equiv_pos_as_xyz
'x,y,z'
loop_
_atom_site_label
_atom_site_fract_x
_atom_site_fract_y
_atom_site_fract_z
La1 0.0000 0.0000 0.0000
La2 0.5000 0.5000 0.5000
Nd1 0.0000 0.0000 0.5000
Er1 0.0001 0.5000 0.2444
Er2 0.9999 0.5000 0.7556
Er3 0.5001 0.0000 0.2443
Er4 0.4999 0.0000 0.7557
Th1 0.5000 0.5000 0.0000
```

=====

Compound: LaNdEr5Th2
Source: the Alexandria database
Functional: GGA-PBE
Structure: optimized geometry

## Properties
Symmetry: I4/mcm
Total magnetization in μB/atom: 0.000
DOS at the Fermi energy in states/eV per atom: 1.392
Calculated density in g cm⁻³: 8.71
Uncorrected energy in eV per atom: -4.946

Cell and atoms, written as CIF:
```
data_LaNdEr5Th2
_cell_length_a 9.8674
_cell_length_b 9.8674
_cell_length_c 9.8674
_cell_angle_alpha 126.26
_cell_angle_beta 126.26
_cell_angle_gamma 79.47
_symmetry_space_group_name_H-M 'P 1'
_symmetry_Int_Tables_number 1
loop_
_symmetry_equiv_pos_as_xyz
'x,y,z'
loop_
_atom_site_label
_atom_site_fract_x
_atom_site_fract_y
_atom_site_fract_z
La1 0.2500 0.2500 0.0000
La2 0.7500 0.7500 0.0000
Nd1 0.2500 0.7500 0.5000
Nd2 0.7500 0.2500 0.5000
Er1 0.0000 0.0000 0.0000
Er2 0.0702 0.5702 0.9104
Er3 0.1598 0.0702 0.5000
Er4 0.3402 0.8402 0.9104
Er5 0.4298 0.3402 0.5000
Er6 0.5000 0.5000 0.0000
Er7 0.5702 0.6598 0.5000
Er8 0.6598 0.1598 0.0896
Er9 0.8402 0.9298 0.5000
Er10 0.9298 0.4298 0.0896
Th1 0.1185 0.3815 0.5000
Th2 0.3815 0.8815 0.2630
Th3 0.6185 0.1185 0.7370
Th4 0.8815 0.6185 0.5000
```